Entry 1:
# PBE-GGA Er3HfN4, optimized geometry
data_Er3HfN4
_chemical_formula_sum 'Er3 Hf1 N4'
_symmetry_space_group_name_H-M 'P m -3 m'
_symmetry_Int_Tables_number 221
_symmetry_space_group_name_Hall '-P 4 2 3'
_cell_length_a 4.755
_cell_length_b 4.755
_cell_length_c 4.755
_cell_angle_alpha 90.00
_cell_angle_beta 90.00
_cell_angle_gamma 90.00
loop_
_atom_site_label
_atom_site_fract_x
_atom_site_fract_y
_atom_site_fract_z
Er1 0.000 0.000 0.500
Hf1 0.500 0.500 0.500
N1 0.000 0.000 0.000
N2 0.000 0.500 0.500
# E above lowest polymorph = 56 meV per atom
# N(E_F) = 1.53 states/eV/f.u.
# V = 13.4 Å³ per atom
# density = 11.37 g cm⁻³

=====

Entry 2:
# PBE-GGA ErHf2N3, optimized geometry
data_ErHf2N3
_chemical_formula_sum 'Er4 Hf8 N12'
_symmetry_space_group_name_H-M 'P n m a'
_symmetry_Int_Tables_number 62
_symmetry_space_group_name_Hall '-P 2ac 2n'
_cell_length_a 6.540
_cell_length_b 4.619
_cell_length_c 9.822
_cell_angle_alpha 90.00
_cell_angle_beta 90.00
_cell_angle_gamma 90.00
loop_
_atom_site_label
_atom_site_fract_x
_atom_site_fract_y
_atom_site_fract_z
Er1 0.126 0.250 0.081
Hf1 0.123 0.250 0.415
Hf2 0.124 0.250 0.750
N1 0.116 0.750 0.413
N2 0.125 0.750 0.750
N3 0.135 0.750 0.089
# E = -0.736 Ry per atom
# N(E_F) = 1.59 states/eV/f.u.
# V = 12.4 Å³ per atom
# density = 12.68 g cm⁻³

=====

Entry 3:
# PBE-GGA Er4Hf3N8, optimized geometry
data_Er4Hf3N8
_chemical_formula_sum 'Er8 Hf6 N16'
_symmetry_space_group_name_H-M 'C 1 2/m 1'
_symmetry_Int_Tables_number 12
_symmetry_space_group_name_Hall '-C 2y'
_cell_length_a 9.305
_cell_length_b 9.353
_cell_length_c 6.577
_cell_angle_alpha 90.00
_cell_angle_beta 134.43
_cell_angle_gamma 90.00
loop_
_atom_site_label
_atom_site_fract_x
_atom_site_fract_y
_atom_site_fract_z
Er1 0.000 0.000 0.000
Er2 0.000 0.500 0.500
Er3 0.250 0.250 0.000
Hf1 0.000 0.500 0.000
Hf2 0.250 0.250 0.500
N1 0.000 0.255 0.000
N2 0.000 0.256 0.500
N3 0.229 0.500 0.981
N4 0.239 0.500 0.485
# E = -0.674 Ry per atom
# N(E_F) = 4.41 states/eV/f.u.
# V = 13.6 Å³ per atom
# density = 10.70 g cm⁻³

=====

Entry 4:
# PBE-GGA Er2HfN3, optimized geometry
data_Er2HfN3
_chemical_formula_sum 'Er4 Hf2 N6'
_symmetry_space_group_name_H-M 'I 4/m m m'
_symmetry_Int_Tables_number 139
_symmetry_space_group_name_Hall '-I 4 2'
_cell_length_a 3.349
_cell_length_b 3.349
_cell_length_c 14.155
_cell_angle_alpha 90.00
_cell_angle_beta 90.00
_cell_angle_gamma 90.00
loop_
_atom_site_label
_atom_site_fract_x
_atom_site_fract_y
_atom_site_fract_z
Er1 0.000 0.000 0.165
Hf1 0.000 0.000 0.500
N1 0.000 0.000 0.000
N2 0.000 0.000 0.341
# E = -0.671 Ry per atom
# N(E_F) = 0.92 states/eV/f.u.
# V = 13.2 Å³ per atom
# density = 11.61 g cm⁻³